MnW3S | PBE | optimized geometry

Calculated values
Total moment in μB per atom: 0.00
Polymorph energy (0 for the lowest one) in meV/atom: 0
Energy relative to the elements, uncorrected in eV per atom: 1.2051
DOS at the Fermi energy in states/eV/atom: 1.685

Cell and atoms, written as CIF:
```
data_MnW3S
_chemical_formula_sum 'Mn1 W3 S1'
_cell_length_a 4.3652
_cell_length_b 4.3652
_cell_length_c 4.3652
_cell_angle_alpha 90.00
_cell_angle_beta 90.00
_cell_angle_gamma 90.00
_symmetry_space_group_name_H-M 'P m -3 m'
_symmetry_Int_Tables_number 221
_symmetry_space_group_name_Hall '-P 4 2 3'
loop_
_atom_site_label
_atom_site_type_symbol
_atom_site_fract_x
_atom_site_fract_y
_atom_site_fract_z
_atom_site_occupancy
Mn1 Mn 0.0000 0.0000 0.0000 1
W1 W 0.0000 0.5000 0.5000 1
S1 S 0.5000 0.5000 0.5000 1
```



MnW2S2 | PBE | optimized geometry

Calculated values
Total moment in μB per atom: 0.71
Polymorph energy (0 for the lowest one) in meV/atom: 0
Energy relative to the elements, uncorrected in eV per atom: 0.3919
DOS at the Fermi energy in states/eV/atom: 0.459

Cell and atoms, written as CIF:
```
data_MnW2S2
_chemical_formula_sum 'Mn2 W4 S4'
_cell_length_a 4.4822
_cell_length_b 4.4822
_cell_length_c 8.5779
_cell_angle_alpha 90.00
_cell_angle_beta 90.00
_cell_angle_gamma 90.00
_symmetry_space_group_name_H-M 'I 4/m m m'
_symmetry_Int_Tables_number 139
_symmetry_space_group_name_Hall '-I 4 2'
loop_
_atom_site_label
_atom_site_type_symbol
_atom_site_fract_x
_atom_site_fract_y
_atom_site_fract_z
_atom_site_occupancy
Mn1 Mn 0.0000 0.0000 0.0000 1
W1 W 0.0000 0.0000 0.3610 1
S1 S 0.0000 0.5000 0.2500 1
```



MnWS3 | PBE | optimized geometry

Calculated values
Total moment in μB per atom: 1.09
Energy relative to the elements, uncorrected in eV per atom: 0.2367
DOS at the Fermi energy in states/eV/atom: 0.426

Cell and atoms, written as CIF:
```
data_MnWS3
_chemical_formula_sum 'Mn1 W1 S3'
_cell_length_a 4.6872
_cell_length_b 4.6872
_cell_length_c 4.6872
_cell_angle_alpha 90.00
_cell_angle_beta 90.00
_cell_angle_gamma 90.00
_symmetry_space_group_name_H-M 'P m -3 m'
_symmetry_Int_Tables_number 221
_symmetry_space_group_name_Hall '-P 4 2 3'
loop_
_atom_site_label
_atom_site_type_symbol
_atom_site_fract_x
_atom_site_fract_y
_atom_site_fract_z
_atom_site_occupancy
Mn1 Mn 0.0000 0.0000 0.0000 1
W1 W 0.5000 0.5000 0.5000 1
S1 S 0.0000 0.5000 0.5000 1
```



Mn2WS | PBE | optimized geometry

Calculated values
Total moment in μB per atom: 0.15
Energy relative to the elements, uncorrected in eV per atom: 0.7314
DOS at the Fermi energy in states/eV/atom: 1.626

Cell and atoms, written as CIF:
```
data_Mn2WS
_chemical_formula_sum 'Mn8 W4 S4'
_cell_length_a 5.4258
_cell_length_b 5.4258
_cell_length_c 9.2528
_cell_angle_alpha 90.00
_cell_angle_beta 90.00
_cell_angle_gamma 90.00
_symmetry_space_group_name_H-M 'I -4 2 d'
_symmetry_Int_Tables_number 122
_symmetry_space_group_name_Hall 'I -4 2bw'
loop_
_atom_site_label
_atom_site_type_symbol
_atom_site_fract_x
_atom_site_fract_y
_atom_site_fract_z
_atom_site_occupancy
Mn1 Mn 0.2151 0.2500 0.1250 1
W1 W 0.0000 0.0000 0.5000 1
S1 S 0.0000 0.0000 0.0000 1
```



MnW3S | PBE | optimized geometry

Calculated values
Total moment in μB per atom: 0.00
Polymorph energy (0 for the lowest one) in meV/atom: 489
Energy relative to the elements, uncorrected in eV per atom: 1.6937
DOS at the Fermi energy in states/eV/atom: 1.191

Cell and atoms, written as CIF:
```
data_MnW3S
_chemical_formula_sum 'Mn1 W3 S1'
_cell_length_a 4.4961
_cell_length_b 4.4961
_cell_length_c 4.4961
_cell_angle_alpha 90.00
_cell_angle_beta 90.00
_cell_angle_gamma 90.00
_symmetry_space_group_name_H-M 'P m -3 m'
_symmetry_Int_Tables_number 221
_symmetry_space_group_name_Hall '-P 4 2 3'
loop_
_atom_site_label
_atom_site_type_symbol
_atom_site_fract_x
_atom_site_fract_y
_atom_site_fract_z
_atom_site_occupancy
Mn1 Mn 0.0000 0.0000 0.0000 1
W1 W 0.0000 0.0000 0.5000 1
S1 S 0.5000 0.5000 0.5000 1
```



Y2MnS | PBE | optimized geometry

Calculated values
Total moment in μB per atom: 0.75
Energy relative to the elements, uncorrected in eV per atom: -0.3507
DOS at the Fermi energy in states/eV/atom: 0.392

Cell and atoms, written as CIF:
```
data_Y2MnS
_chemical_formula_sum 'Y8 Mn4 S4'
_cell_length_a 7.6196
_cell_length_b 7.6196
_cell_length_c 6.8759
_cell_angle_alpha 90.00
_cell_angle_beta 90.00
_cell_angle_gamma 90.00
_symmetry_space_group_name_H-M 'I -4 2 d'
_symmetry_Int_Tables_number 122
_symmetry_space_group_name_Hall 'I -4 2bw'
loop_
_atom_site_label
_atom_site_type_symbol
_atom_site_fract_x
_atom_site_fract_y
_atom_site_fract_z
_atom_site_occupancy
Y1 Y 0.2162 0.2500 0.1250 1
Mn1 Mn 0.0000 0.0000 0.5000 1
S1 S 0.0000 0.0000 0.0000 1
```